Pr2Tl3Ag: optimized geometry, PBE.

a = 7.5014 Å, b = 10.1180 Å, c = 17.5514 Å
α = 90.00°, β = 90.00°, γ = 90.00°
With the nearest neighbours (Å) after each atom.
Space group Fmmm (No. 69)
Inequivalent atoms, fractional coordinates:
1 Pr 0.2481 0.0000 0.0000 (multiplicity 8)  10 Tl 3.43-3.55, 2 Ag 3.48, 2 Pr 3.72-3.78
2 Pr 0.2500 0.2500 0.2500 (multiplicity 8)  8 Tl 3.44, 4 Ag 3.47, 2 Pr 3.75
3 Tl 0.0000 0.0000 0.3292 (multiplicity 8)  1 Ag 2.84, 2 Tl 3.00
4 Tl 0.0000 0.2428 0.0860 (multiplicity 16)  1 Ag 2.84, 2 Tl 3.00-3.02
5 Ag 0.0000 0.0000 0.1676 (multiplicity 8)  3 Tl 2.84

* calculated density: 10.00 Mg/m³
* energy above the lowest structure with this stoichiometry: 5 meV per atom
* calculated formation energy: -1.685 eV/f.u.
* total DFT energy (no corrections): -3.53 eV per atom



Pr6TlAg5: optimized geometry, PBE.

a = 16.9152 Å, b = 7.7159 Å, c = 5.3541 Å
α = 90.00°, β = 108.22°, γ = 90.00°
With the nearest neighbours (Å) after each atom.
Space group C2/m (No. 12)
Inequivalent atoms, fractional coordinates:
1 Pr 0.0000 0.2410 0.0000 (multiplicity 4)  6 Ag 3.26-3.28, 2 Tl 3.34
2 Pr 0.1695 0.2461 0.6692 (multiplicity 8)  7 Ag 3.28-3.32, 1 Tl 3.35
3 Tl 0.0000 0.5000 0.5000 (multiplicity 2)  8 Pr 3.34-3.35, 4 Ag 3.73
4 Ag 0.0000 0.0000 0.5000 (multiplicity 2)  8 Pr 3.26-3.32
5 Ag 0.1616 0.5000 0.1607 (multiplicity 4)  8 Pr 3.28-3.32
6 Ag 0.1668 0.0000 0.1661 (multiplicity 4)  8 Pr 3.26-3.28

* calculated density: 7.95 Mg/m³
* calculated formation energy: -3.192 eV/f.u.
* total DFT energy (no corrections): -4.04 eV per atom



Pr6TlAg: optimized geometry, PBE.

a = 5.3302 Å, b = 5.3302 Å, c = 18.3389 Å
α = 90.00°, β = 90.00°, γ = 90.00°
With the nearest neighbours (Å) after each atom.
Space group I4/mmm (No. 139)
Inequivalent atoms, fractional coordinates:
1 Pr 0.0000 0.0000 0.2489 (multiplicity 4)  12 Pr 3.69-3.77
2 Pr 0.0000 0.5000 0.1101 (multiplicity 8)  2 Ag 3.34, 2 Tl 3.34, 4 Pr 3.69-3.71
3 Tl 0.0000 0.0000 0.0000 (multiplicity 2)  8 Pr 3.34
4 Ag 0.0000 0.0000 0.5000 (multiplicity 2)  8 Pr 3.34

* calculated density: 7.38 Mg/m³
* energy above the lowest structure with this stoichiometry: 0 meV per atom
* calculated formation energy: -1.157 eV/f.u.
* total DFT energy (no corrections): -4.38 eV per atom



Pr3Tl4Ag2: optimized geometry, PBE.

a = 11.4674 Å, b = 5.0331 Å, c = 9.5404 Å
α = 90.00°, β = 116.86°, γ = 90.00°
With the nearest neighbours (Å) after each atom.
Space group C2/m (No. 12)
Inequivalent atoms, fractional coordinates:
1 Pr 0.0000 0.0000 0.0000 (multiplicity 2)  8 Tl 3.37-3.54, 4 Ag 3.45, 2 Pr 3.73
2 Pr 0.1678 0.5000 0.6575 (multiplicity 4)  7 Tl 3.34-3.48, 4 Ag 3.37-3.47, 2 Pr 3.66-3.73
3 Tl 0.0486 0.0000 0.3754 (multiplicity 4)  2 Ag 2.87, 1 Tl 3.05
4 Tl 0.2401 0.5000 0.0841 (multiplicity 4)  1 Ag 2.88, 2 Tl 3.05
5 Ag 0.1066 0.5000 0.2774 (multiplicity 4)  3 Tl 2.87-2.88

* calculated density: 9.84 Mg/m³
* calculated formation energy: -2.775 eV/f.u.
* total DFT energy (no corrections): -3.59 eV per atom



Pr8TlAg2: optimized geometry, PBE.

a = 17.9914 Å, b = 5.2190 Å, c = 8.1128 Å
α = 90.00°, β = 113.18°, γ = 90.00°
With the nearest neighbours (Å) after each atom.
Space group C2/m (No. 12)
Inequivalent atoms, fractional coordinates:
1 Pr 0.0408 0.0000 0.2639 (multiplicity 4)  1 Ag 3.12, 2 Tl 3.48
2 Pr 0.0907 0.5000 0.9589 (multiplicity 4)  2 Ag 3.23, 1 Tl 3.43, 3 Pr 3.51-3.58
3 Pr 0.1784 0.5000 0.4655 (multiplicity 4)  1 Ag 3.02, 1 Tl 3.33
4 Pr 0.1844 0.0000 0.7803 (multiplicity 4)  3 Ag 3.05-3.35
5 Tl 0.0000 0.5000 0.5000 (multiplicity 2)  8 Pr 3.33-3.48
6 Ag 0.1905 0.0000 0.1608 (multiplicity 4)  7 Pr 3.02-3.35

* calculated density: 7.34 Mg/m³
* calculated formation energy: -1.463 eV/f.u.
* total DFT energy (no corrections): -4.34 eV per atom



Pr3Tl4Ag4: optimized geometry, PBE.

a = 31.5804 Å, b = 3.5982 Å, c = 5.0529 Å
α = 90.00°, β = 99.18°, γ = 90.00°
With the nearest neighbours (Å) after each atom.
Space group C2/m (No. 12)
Inequivalent atoms, fractional coordinates:
1 Pr 0.0000 0.0000 0.0000 (multiplicity 2)  4 Tl 3.40, 8 Ag 3.40-3.41, 2 Pr 3.60
2 Pr 0.1378 0.0000 0.6383 (multiplicity 4)  6 Ag 3.41-3.42, 6 Tl 3.41-3.46, 2 Pr 3.60
3 Tl 0.0924 0.5000 0.0924 (multiplicity 4)  3 Ag 2.86-2.93
4 Tl 0.2326 0.5000 0.7327 (multiplicity 4)  4 Ag 2.94-3.16, 4 Tl 3.29
5 Ag 0.0451 0.5000 0.5451 (multiplicity 4)  1 Ag 2.81, 2 Tl 2.93
6 Ag 0.1841 0.5000 0.1843 (multiplicity 4)  5 Tl 2.86-3.16

* calculated density: 9.79 Mg/m³
* calculated formation energy: -2.409 eV/f.u.
* total DFT energy (no corrections): -3.42 eV per atom



Among the records above, which one has the lowest calculated density?
Pr8TlAg2